No. 1
Below is crystalline KFeRh2 at its relaxed geometry, with properties calculated at the PBE-GGA level.

Results
Total DFT energy (no corrections) = -5.11 eV per atom
Energy of formation from the pure elements = 956 meV/atom
Offset from the most stable computed form = 0.590 eV/atom
Total magnetic moment = 4.720 μB per cell

a = 4.5891 Å, b = 4.5891 Å, c = 4.5891 Å
α = 120.03°, β = 120.03°, γ = 89.94°
Last column: magnetic moment on the atom in μB.
Fractional positions:
Rh  0.0000  0.0000  0.0000  0.78
Rh  0.2500  0.7500  0.5000  0.88
Fe  0.5000  0.5000  0.0000  3.11
K  0.7500  0.2500  0.5000  -0.01

---

No. 2
Below is crystalline KFeRh at its relaxed geometry, with properties calculated at the PBE-GGA level.

Results
Total DFT energy (no corrections) = -5.27 eV per atom
Energy of formation from the pure elements = 366 meV/atom
Offset from the most stable computed form = 0.057 eV/atom
Total magnetic moment = 8.135 μB per cell

a = 4.1938 Å, b = 4.1862 Å, c = 11.6665 Å
α = 99.30°, β = 80.11°, γ = 60.04°
Last column: magnetic moment on the atom in μB.
Fractional positions:
Rh  0.0029  0.5895  0.3352  0.91
Rh  0.1904  0.0655  0.4897  0.83
K  0.2714  0.6451  0.7570  0.00
K  0.5244  0.7386  0.1354  0.00
Fe  0.6033  0.3209  0.4050  3.13
Fe  0.8009  0.7870  0.5487  3.11

---

No. 3
Below is crystalline KFeRh2 at its relaxed geometry, with properties calculated at the PBE-GGA level.

Results
Total DFT energy (no corrections) = -5.17 eV per atom
Energy of formation from the pure elements = 897 meV/atom
Offset from the most stable computed form = 0.531 eV/atom
Total magnetic moment = 4.587 μB per cell

a = 3.0010 Å, b = 4.7456 Å, c = 4.7456 Å
α = 90.00°, β = 90.00°, γ = 90.00°
Last column: magnetic moment on the atom in μB.
Fractional positions:
Fe  0.5000  0.5000  0.0000  3.25
Rh  0.0000  0.0000  0.0000  0.69
Rh  0.0000  0.5000  0.5000  0.69
K  0.5000  0.0000  0.5000  -0.02

---

No. 4
Below is crystalline KFeRh at its relaxed geometry, with properties calculated at the PBE-GGA level.

Results
Total DFT energy (no corrections) = -5.14 eV per atom
Energy of formation from the pure elements = 500 meV/atom
Offset from the most stable computed form = 0.192 eV/atom
Total magnetic moment = 3.512 μB per cell

a = 6.4538 Å, b = 6.4538 Å, c = 6.4538 Å
α = 153.29°, β = 146.54°, γ = 43.31°
Last column: magnetic moment on the atom in μB.
Fractional positions:
K  0.3314  0.3314  0.0000  -0.01
Fe  0.0564  0.0564  0.0000  2.96
Rh  0.6122  0.6122  0.0000  0.60

---

No. 5
Below is crystalline K2FeRh at its relaxed geometry, with properties calculated at the PBE-GGA level.

Results
Total DFT energy (no corrections) = -3.19 eV per atom
Energy of formation from the pure elements = 1316 meV/atom
Offset from the most stable computed form = 0.861 eV/atom
Total magnetic moment = 3.899 μB per cell

a = 5.3762 Å, b = 5.3762 Å, c = 5.3762 Å
α = 60.00°, β = 60.00°, γ = 60.00°
Last column: magnetic moment on the atom in μB.
Fractional positions:
K  0.7500  0.7500  0.7500  0.00
K  0.2500  0.2500  0.2500  0.00
Rh  0.5000  0.5000  0.5000  0.55
Fe  0.0000  0.0000  0.0000  3.21

---

No. 6
Below is crystalline KFeRh at its relaxed geometry, with properties calculated at the PBE-GGA level.

Results
Total DFT energy (no corrections) = -5.22 eV per atom
Energy of formation from the pure elements = 419 meV/atom
Offset from the most stable computed form = 0.110 eV/atom
Total magnetic moment = 7.354 μB per cell

a = 4.4517 Å, b = 4.4487 Å, c = 8.7064 Å
α = 87.67°, β = 92.46°, γ = 78.15°
Last column: magnetic moment on the atom in μB.
Fractional positions:
Rh  0.7949  0.7951  0.4998  0.64
Rh  0.2051  0.2049  0.5002  0.64
K  0.7695  0.2307  0.1853  -0.01
K  0.2305  0.7693  0.8147  -0.01
Fe  0.3139  0.6856  0.3944  3.02
Fe  0.6861  0.3144  0.6056  3.02

---

No. 7
Below is crystalline KFeRh at its relaxed geometry, with properties calculated at the PBE-GGA level.

Results
Total DFT energy (no corrections) = -3.71 eV per atom
Energy of formation from the pure elements = 1924 meV/atom
Offset from the most stable computed form = 1.616 eV/atom
Total magnetic moment = 3.610 μB per cell

a = 4.6109 Å, b = 4.6109 Å, c = 4.6109 Å
α = 60.00°, β = 60.00°, γ = 60.00°
Last column: magnetic moment on the atom in μB.
Fractional positions:
K  0.7500  0.7500  0.7500  -0.01
Rh  0.0000  0.0000  0.0000  0.43
Fe  0.5000  0.5000  0.5000  3.16

---

No. 8
Below is crystalline KFeRh2 at its relaxed geometry, with properties calculated at the PBE-GGA level.

Results
Total DFT energy (no corrections) = -5.15 eV per atom
Energy of formation from the pure elements = 918 meV/atom
Offset from the most stable computed form = 0.552 eV/atom
Total magnetic moment = 8.657 μB per cell

a = 4.9121 Å, b = 4.9121 Å, c = 8.8954 Å
α = 73.97°, β = 73.97°, γ = 90.00°
Last column: magnetic moment on the atom in μB.
Fractional positions:
Rh  0.3750  0.2008  0.7500  0.57
Rh  0.9508  0.6250  0.2500  0.50
Rh  0.7992  0.1250  0.2500  0.51
Rh  0.8750  0.0492  0.7500  0.56
Fe  0.0000  0.0000  0.0000  3.06
Fe  0.7500  0.2500  0.5000  3.05
K  0.2500  0.7500  0.5000  0.00
K  0.5000  0.5000  0.0000  0.00